{
  "formula": "Na2EuBr4",
  "functional": "PBE",
  "state": "optimized geometry",
  "formation_energy_uncorrected_mev_per_atom": -1583,
  "total_magnetization_mub_per_fu": 6.99,
  "lattice_angstrom": [[5.903, 0.000, 0.000], [0.000, 5.903, 0.000], [-2.951, -2.951, 7.794]],
  "species": ["Na", "Na", "Br", "Br", "Eu", "Br", "Br"],
  "frac_coords": [[0.636, 0.636, 0.273], [0.364, 0.364, 0.727], [0.188, 0.188, 0.377], [0.000, 0.500, 0.000], [0.000, 0.000, 0.000], [0.812, 0.812, 0.623], [0.500, 0.000, 0.000]]
}